Compound: Dy3Ge2
Source: Alexandria via LeMat-Bulk
Functional: PBE
Structure: relaxed

Computed properties:
Energy relative to the elements ... -0.654 eV per atom

Geometry as CIF:
```
data_Dy3Ge2
_cell_length_a 17.5609
_cell_length_b 4.4285
_cell_length_c 10.8401
_cell_angle_alpha 90.00
_cell_angle_beta 97.82
_cell_angle_gamma 90.00
_space_group_name_H-M_alt 'C 1 2/m 1'
_space_group_IT_number 12
loop_
_space_group_symop_operation_xyz
'x,y,z'
'-x,-y,-z'
'-x,y,-z'
'x,-y,z'
'x+1/2,y+1/2,z'
'-x+1/2,-y+1/2,-z'
'-x+1/2,y+1/2,-z'
'x+1/2,-y+1/2,z'
loop_
_atom_site_label
_atom_site_type_symbol
_atom_site_fract_x
_atom_site_fract_y
_atom_site_fract_z
Dy1 Dy 0.0000 0.0000 0.0000
Dy2 Dy 0.0337 0.0000 0.6573
Dy3 Dy 0.1275 0.5000 0.2847
Dy4 Dy 0.1747 0.5000 0.9604
Dy5 Dy 0.2089 0.5000 0.6237
Ge1 Ge 0.0323 0.5000 0.8168
Ge2 Ge 0.1403 0.0000 0.4731
Ge3 Ge 0.1729 0.0000 0.1300
```